(1)
! MgHg2Cl | Alexandria via LeMat-Bulk | PBE | optimized geometry; values from VASP
&SYSTEM
  ibrav = 0, nat = 4, ntyp = 3
/
ATOMIC_SPECIES
Mg 24.30 Mg.upf
Hg 200.59 Hg.upf
Cl 35.45 Cl.upf
CELL_PARAMETERS angstrom
4.979 0.000 0.000
0.000 4.908 0.000
-2.433 0.000 5.245
ATOMIC_POSITIONS angstrom
Mg 0.000 0.000 0.000
Hg 0.035 2.454 1.669
Hg 2.511 2.454 3.576
Cl 2.490 0.000 0.000
! Formation energy (no corrections) = -436 meV per atom
! Energy above the most stable polymorph in this dataset = 170 meV/atom
! Symmetry = P2/m, No. 10
! Total DFT energy (no corrections) = -1.447 eV per atom
! Theoretical density = 5.971 g/cm³

(2)
! Pm2Sm2Th15 | Alexandria via LeMat-Bulk | PBE | optimized geometry; values from VASP
&SYSTEM
  ibrav = 0, nat = 19, ntyp = 3
/
ATOMIC_SPECIES
Pm 145.00 Pm.upf
Sm 150.36 Sm.upf
Th 232.04 Th.upf
CELL_PARAMETERS angstrom
5.766 3.329 5.721
-5.766 3.329 5.721
0.000 -6.658 5.721
ATOMIC_POSITIONS angstrom
Pm 0.000 0.000 1.766
Pm 0.000 0.000 15.397
Sm 0.000 0.000 6.027
Sm 0.000 0.000 11.137
Th -5.766 0.000 8.582
Th -1.791 -3.557 5.721
Th -2.883 1.665 2.861
Th -3.976 0.228 5.721
Th -2.757 -1.592 8.552
Th 1.791 -3.557 5.721
Th -2.185 3.329 5.721
Th 0.000 -3.183 8.612
Th -2.757 1.592 8.612
Th 2.883 1.665 2.861
Th 2.757 -1.592 8.552
Th 0.000 3.183 8.552
Th 3.976 0.228 5.721
Th 2.185 3.329 5.721
Th 2.757 1.592 8.612
! Symmetry = R-3m, No. 166
! Total DFT energy (no corrections) = -6.573 eV per atom
! ΔH_f (0 K) = 517 kJ/mol of formula units
! Theoretical density = 10.259 g/cm³

(3)
! CrSeSBr2 | Alexandria via LeMat-Bulk | PBE | optimized geometry; values from VASP
&SYSTEM
  ibrav = 0, nat = 5, ntyp = 4
/
ATOMIC_SPECIES
Cr 52.00 Cr.upf
Se 78.96 Se.upf
S 32.06 S.upf
Br 79.90 Br.upf
CELL_PARAMETERS angstrom
5.034 0.000 0.000
0.000 5.034 0.000
0.000 0.000 5.085
ATOMIC_POSITIONS angstrom
Cr 0.000 0.000 0.000
Se 2.517 2.517 0.000
S 2.517 2.517 2.543
Br 0.000 2.517 2.543
Br 2.517 0.000 2.543
! Formation energy (no corrections) = 581 meV per atom
! Energy above the most stable polymorph in this dataset = 85 meV/atom
! Symmetry = P4/mmm, No. 123
! Total DFT energy (no corrections) = -3.536 eV per atom
! Theoretical density = 4.160 g/cm³

What is the total DFT energy (no corrections) in the third record? -3.536 eV per atom

Please write out number 2 again, unchanged.
! Pm2Sm2Th15 | Alexandria via LeMat-Bulk | PBE | optimized geometry; values from VASP
&SYSTEM
  ibrav = 0, nat = 19, ntyp = 3
/
ATOMIC_SPECIES
Pm 145.00 Pm.upf
Sm 150.36 Sm.upf
Th 232.04 Th.upf
CELL_PARAMETERS angstrom
5.766 3.329 5.721
-5.766 3.329 5.721
0.000 -6.658 5.721
ATOMIC_POSITIONS angstrom
Pm 0.000 0.000 1.766
Pm 0.000 0.000 15.397
Sm 0.000 0.000 6.027
Sm 0.000 0.000 11.137
Th -5.766 0.000 8.582
Th -1.791 -3.557 5.721
Th -2.883 1.665 2.861
Th -3.976 0.228 5.721
Th -2.757 -1.592 8.552
Th 1.791 -3.557 5.721
Th -2.185 3.329 5.721
Th 0.000 -3.183 8.612
Th -2.757 1.592 8.612
Th 2.883 1.665 2.861
Th 2.757 -1.592 8.552
Th 0.000 3.183 8.552
Th 3.976 0.228 5.721
Th 2.185 3.329 5.721
Th 2.757 1.592 8.612
! Symmetry = R-3m, No. 166
! Total DFT energy (no corrections) = -6.573 eV per atom
! ΔH_f (0 K) = 517 kJ/mol of formula units
! Theoretical density = 10.259 g/cm³

What did the first record say?
! MgHg2Cl | Alexandria via LeMat-Bulk | PBE | optimized geometry; values from VASP
&SYSTEM
  ibrav = 0, nat = 4, ntyp = 3
/
ATOMIC_SPECIES
Mg 24.30 Mg.upf
Hg 200.59 Hg.upf
Cl 35.45 Cl.upf
CELL_PARAMETERS angstrom
4.979 0.000 0.000
0.000 4.908 0.000
-2.433 0.000 5.245
ATOMIC_POSITIONS angstrom
Mg 0.000 0.000 0.000
Hg 0.035 2.454 1.669
Hg 2.511 2.454 3.576
Cl 2.490 0.000 0.000
! Formation energy (no corrections) = -436 meV per atom
! Energy above the most stable polymorph in this dataset = 170 meV/atom
! Symmetry = P2/m, No. 10
! Total DFT energy (no corrections) = -1.447 eV per atom
! Theoretical density = 5.971 g/cm³